a | DFT (PBE) results for a geometry-optimized Sr2TlHg4 structure.

POSCAR file:
```
Sr2TlHg4
1.0
-3.563 0.978 4.181
2.592 -3.840 3.108
5.745 7.466 -0.574
Hg Sr Tl
4 2 1
Direct
0.816 0.816 0.632
0.500 0.000 0.000
0.184 0.184 0.368
0.000 0.500 0.000
0.373 0.373 0.746
0.627 0.627 0.254
0.000 0.000 0.000
```

## Properties
Total magnetization (μB per formula unit): 0.0
DOS at the Fermi energy (states/eV/f.u.): 5.12
SG: No. 139


b | DFT (PBE) results for a geometry-optimized Sr2TlHg4 structure.

POSCAR file:
```
Sr2TlHg4
1.0
5.238 0.000 1.636
2.363 4.674 1.636
0.020 0.012 9.136
Hg Sr Tl
4 2 1
Direct
0.871 0.871 0.387
0.613 0.613 0.162
0.129 0.129 0.613
0.387 0.387 0.838
0.743 0.743 0.770
0.257 0.257 0.230
0.000 0.000 0.000
```

## Properties
Total magnetization (μB per formula unit): 0.0
DOS at the Fermi energy (states/eV/f.u.): 3.36
SG: No. 166


The least stable of them is a.


a | DFT (PBE) results for a geometry-optimized SrTlHg4 structure.

POSCAR file:
```
SrTlHg4
1.0
-4.058 -1.069 4.581
1.935 -2.518 5.339
0.176 3.438 5.171
Hg Sr Tl
4 1 1
Direct
0.124 0.625 0.625
0.625 0.625 0.625
0.625 0.625 0.124
0.625 0.124 0.625
0.250 0.250 0.250
0.000 0.000 0.000
```

## Properties
Total magnetization (μB per formula unit): 0.0
DOS at the Fermi energy (states/eV/f.u.): 2.08
SG: No. 216


b | DFT (PBE) results for a geometry-optimized SrTlHg4 structure.

POSCAR file:
```
SrTlHg4
1.0
-1.079 -2.592 -4.520
-7.028 -3.122 3.469
-3.741 7.876 -0.492
Hg Tl Sr
8 2 2
Direct
0.770 0.579 0.540
0.230 0.079 0.460
0.437 0.250 0.875
0.000 0.500 0.000
0.770 0.921 0.540
0.563 0.750 0.125
0.000 0.000 0.000
0.230 0.421 0.460
0.848 0.250 0.697
0.152 0.750 0.303
0.630 0.250 0.261
0.370 0.750 0.739
```

## Properties
Total magnetization (μB per formula unit): 0.0
DOS at the Fermi energy (states/eV/f.u.): 3.15
SG: No. 63


c | DFT (PBE) results for a geometry-optimized SrTlHg4 structure.

POSCAR file:
```
SrTlHg4
1.0
5.380 -0.726 0.378
0.462 4.821 2.619
-0.467 -0.200 6.239
Hg Tl Sr
4 1 1
Direct
0.500 0.819 0.362
0.000 0.675 0.651
0.000 0.325 0.349
0.500 0.181 0.638
0.000 0.000 0.000
0.500 0.500 0.000
```

## Properties
Total magnetization (μB per formula unit): 0.0
DOS at the Fermi energy (states/eV/f.u.): 2.06
SG: No. 65


The least stable of them is b.


a | DFT (PBE) results for a geometry-optimized Sr4Tl2Hg structure.

POSCAR file:
```
Sr4Tl2Hg
1.0
5.466 0.000 1.708
2.466 4.878 1.708
-0.116 -0.071 9.973
Sr Hg Tl
4 1 2
Direct
0.124 0.124 0.629
0.374 0.374 0.879
0.876 0.876 0.371
0.626 0.626 0.121
0.000 0.000 0.000
0.750 0.750 0.749
0.250 0.250 0.251
```

## Properties
Total magnetization (μB per formula unit): 0.0
DOS at the Fermi energy (states/eV/f.u.): 7.85
SG: No. 166


b | DFT (PBE) results for a geometry-optimized Sr4Tl2Hg structure.

POSCAR file:
```
Sr4Tl2Hg
1.0
-1.156 -5.405 -2.812
3.617 -2.912 4.111
-5.253 -5.314 5.535
Sr Hg Tl
4 1 2
Direct
0.803 0.803 0.394
0.197 0.197 0.606
0.500 0.000 0.000
0.000 0.500 0.000
0.000 0.000 0.000
0.602 0.602 0.797
0.398 0.398 0.203
```

## Properties
Total magnetization (μB per formula unit): 0.0
DOS at the Fermi energy (states/eV/f.u.): 8.63
SG: No. 139


The least stable of them is b.


a | DFT (PBE) results for a geometry-optimized Sr2Tl3Hg2 structure.

POSCAR file:
```
Sr2Tl3Hg2
1.0
-4.159 2.596 -0.096
-0.221 -4.826 4.282
3.241 5.356 4.380
Sr Tl Hg
2 3 2
Direct
0.384 0.769 0.680
0.616 0.231 0.320
0.302 0.604 0.131
0.000 0.000 0.000
0.698 0.396 0.869
0.104 0.208 0.638
0.896 0.792 0.362
```

## Properties
Total magnetization (μB per formula unit): 0.0
DOS at the Fermi energy (states/eV/f.u.): 4.26
SG: No. 12


b | DFT (PBE) results for a geometry-optimized Sr2Tl3Hg2 structure.

POSCAR file:
```
Sr2Tl3Hg2
1.0
-0.436 3.449 -4.114
3.245 -4.334 -0.451
-8.397 -2.835 -1.487
Tl Hg Sr
3 2 2
Direct
0.346 0.692 0.537
0.500 0.000 0.000
0.654 0.308 0.463
0.212 0.425 0.133
0.788 0.575 0.867
0.079 0.158 0.742
0.921 0.842 0.258
```

## Properties
Total magnetization (μB per formula unit): 0.0
DOS at the Fermi energy (states/eV/f.u.): 4.46
SG: No. 12


The least stable of them is a.


a | DFT (PBE) results for a geometry-optimized SrTl4Hg5 structure.

POSCAR file:
```
SrTl4Hg5
1.0
4.050 0.000 0.000
0.000 4.050 0.000
0.000 0.000 17.864
Tl Sr Hg
4 1 5
Direct
0.000 0.000 0.601
0.000 0.000 0.202
0.000 0.000 0.798
0.000 0.000 0.399
0.000 0.000 0.000
0.500 0.500 0.701
0.500 0.500 0.500
0.500 0.500 0.299
0.500 0.500 0.897
0.500 0.500 0.103
```

## Properties
Total magnetization (μB per formula unit): 0.0
DOS at the Fermi energy (states/eV/f.u.): 5.89
SG: No. 123


b | DFT (PBE) results for a geometry-optimized SrTl4Hg5 structure.

POSCAR file:
```
SrTl4Hg5
1.0
-5.164 -3.279 -2.162
-0.968 -6.931 3.091
-6.454 1.144 3.946
Hg Tl Sr
5 4 1
Direct
0.672 0.162 0.387
0.702 0.000 0.000
0.059 0.613 0.162
0.834 0.387 0.838
0.220 0.838 0.613
0.129 0.238 0.411
0.779 0.762 0.589
0.367 0.411 0.762
0.541 0.589 0.238
0.208 0.000 0.000
```

## Properties
Total magnetization (μB per formula unit): 0.0
DOS at the Fermi energy (states/eV/f.u.): 4.57
SG: No. 79


The least stable of them is b.


a | DFT (PBE) results for a geometry-optimized Sr2Tl8Hg structure.

POSCAR file:
```
Sr2Tl8Hg
1.0
-5.153 -0.704 -0.053
0.329 -2.044 -4.771
1.540 -11.660 5.102
Tl Sr Hg
8 2 1
Direct
0.500 0.500 0.314
0.500 0.500 0.686
0.000 0.500 0.866
0.500 0.000 0.866
0.000 0.500 0.134
0.500 0.000 0.134
0.000 0.500 0.500
0.500 0.000 0.500
0.000 0.000 0.685
0.000 0.000 0.315
0.000 0.000 0.000
```

## Properties
Total magnetization (μB per formula unit): 0.0
DOS at the Fermi energy (states/eV/f.u.): 6.29
SG: No. 123


b | DFT (PBE) results for a geometry-optimized Sr2Tl8Hg structure.

POSCAR file:
```
Sr2Tl8Hg
1.0
-1.612 5.139 0.514
1.108 1.069 -7.219
-7.966 -5.515 1.678
Tl Sr Hg
8 2 1
Direct
0.372 0.145 0.744
0.999 0.278 0.998
0.834 0.835 0.668
0.628 0.855 0.256
0.626 0.398 0.251
0.374 0.602 0.749
0.001 0.722 0.002
0.166 0.165 0.332
0.798 0.301 0.596
0.202 0.699 0.404
0.500 0.000 0.000
```

## Properties
Total magnetization (μB per formula unit): 0.0
DOS at the Fermi energy (states/eV/f.u.): 4.35
SG: No. 12


The least stable of them is b.